YWO3, relaxed, DFT PBE+U; total DFT energy (no corrections) = -243.68 eV per cell; magnetization = 2.48 μB/f.u.
1.0
6.197 0.000 0.000
-3.099 5.367 0.000
0.000 0.000 12.649
Y W O
6 6 18
Direct
0.000 0.000 0.000
0.000 0.000 0.500
0.333 0.667 0.465
0.333 0.667 0.965
0.667 0.333 0.465
0.667 0.333 0.965
0.000 0.335 0.229
0.000 0.665 0.729
0.335 0.000 0.229
0.335 0.335 0.729
0.665 0.000 0.729
0.665 0.665 0.229
0.000 0.000 0.204
0.000 0.000 0.704
0.000 0.309 0.398
0.000 0.357 0.061
0.000 0.643 0.561
0.000 0.691 0.898
0.309 0.000 0.398
0.309 0.309 0.898
0.333 0.667 0.257
0.333 0.667 0.757
0.357 0.000 0.061
0.357 0.357 0.561
0.643 0.000 0.561
0.643 0.643 0.061
0.667 0.333 0.257
0.667 0.333 0.757
0.691 0.000 0.898
0.691 0.691 0.398